Material: CuWF3
Method: DFT, PBE with a Hubbard U
State: optimized geometry

## Properties
- energy above the lowest structure with this stoichiometry (eV per atom) = 0.709
- calculated total energy (eV per atom) = -4.05
- crystal system = cubic
- ρ (g/cm³) = 7.4

Unit cell a=4.094 b=4.094 c=4.094 alpha=90.00 beta=90.00 gamma=90.00
Space group Pm-3m (No. 221)
Symmetry-distinct sites (fractional):
Cu 0.000 0.000 0.000 x1
W 0.500 0.500 0.500 x1
F 0.000 0.000 0.500 x3